Cs2SrMnO4 after structural relaxation, computed with GGA+U.

Structure (POSCAR):
```
Cs2SrMnO4
1.0
0.0000 6.2982 12.2553
3.0860 0.0000 12.2553
3.0860 6.2982 0.0000
Cs Sr Mn O
4 2 2 8
direct
0.0652 0.0652 0.6848
0.3152 0.3152 0.9348
0.6848 0.6848 0.0652
0.9348 0.9348 0.3152
0.1250 0.1250 0.1250
0.8750 0.8750 0.8750
0.3750 0.3750 0.3750
0.6250 0.6250 0.6250
0.0604 0.6199 0.5169
0.3028 0.5169 0.6199
0.3801 0.9396 0.6972
0.4831 0.6972 0.9396
0.5169 0.3028 0.0604
0.6199 0.0604 0.3028
0.6972 0.4831 0.3801
0.9396 0.3801 0.4831
```

Calculated density = 3.29 Mg/m³
Space group = Fddd (70)
Electronic total energy = -42.62 eV per formula unit